Computed, not measured: DyZnInO4 after structural relaxation at the PBE level of DFT.

a b c (Å): 6.425 6.504 6.504
angles (deg): 61.27 60.40 60.40
Sites, in units of the cell vectors:
Dy  0.000  0.000  0.000
Dy  0.000  0.500  0.500
Zn  0.619  0.631  0.131
Zn  0.381  0.369  0.869
In  0.500  0.000  0.500
In  0.000  0.000  0.500
O  0.750  0.765  0.734
O  0.250  0.766  0.735
O  0.750  0.234  0.265
O  0.250  0.235  0.266
O  0.233  0.756  0.256
O  0.754  0.756  0.256
O  0.246  0.244  0.744
O  0.767  0.244  0.744

## Properties
DFT total energy (eV/atom): -6.205
Formation energy without anion corrections (meV per atom): -2141.3
Total magnetic moment (Bohr magnetons per cell): 0.0
ρ (g/cm3): 6.921
SG: Imma


Computed, not measured: DyInOs after structural relaxation at the PBE level of DFT.

a b c (Å): 4.320 5.216 6.775
angles (deg): 102.20 108.59 90.00
Sites, in units of the cell vectors:
Os  0.780  0.101  0.559
Os  0.220  0.899  0.441
In  0.570  0.787  0.139
In  0.430  0.213  0.861
Dy  0.873  0.670  0.745
Dy  0.127  0.330  0.255

## Properties
DFT total energy (eV/atom): -6.374
Total magnetic moment (Bohr magnetons per cell): 0.0
ρ (g/cm3): 11.008
ΔH_f (0 K) (eV/atom): -0.184
SG: C2/m


Computed, not measured: Dy4InOs after structural relaxation at the PBE level of DFT.

a b c (Å): 6.118 8.994 7.914
angles (deg): 115.02 99.96 112.07
Sites, in units of the cell vectors:
Dy  0.086  0.202  0.852
Dy  0.773  0.723  0.663
Dy  0.265  0.649  0.852
Dy  0.391  0.941  0.663
Dy  0.609  0.059  0.337
Dy  0.735  0.351  0.148
Dy  0.227  0.277  0.337
Dy  0.914  0.798  0.148
In  0.375  0.625  0.250
In  0.625  0.375  0.750
Os  0.250  0.000  0.999
Os  0.750  0.000  0.001

## Properties
DFT total energy (eV/atom): -5.736
Total magnetic moment (Bohr magnetons per cell): 0.0
ρ (g/cm3): 9.443
ΔH_f (0 K) (eV/atom): -0.340
SG: C2/c


Computed, not measured: Dy8InOs2 after structural relaxation at the PBE level of DFT.

a b c (Å): 5.242 6.945 9.098
angles (deg): 112.35 106.74 90.00
Sites, in units of the cell vectors:
Dy  0.636  0.276  0.908
Dy  0.966  0.016  0.568
Dy  0.306  0.355  0.249
Dy  0.746  0.929  0.128
Dy  0.347  0.853  0.331
Dy  0.926  0.434  0.489
Dy  0.137  0.548  0.911
Dy  0.528  0.709  0.692
In  0.136  0.980  0.909
Os  0.806  0.621  0.249
Os  0.465  0.279  0.567

## Properties
DFT total energy (eV/atom): -5.835
Total magnetic moment (Bohr magnetons per cell): 0.0
ρ (g/cm3): 10.240
ΔH_f (0 K) (eV/atom): -0.197
SG: Cm


Computed, not measured: Dy4In3Os after structural relaxation at the PBE level of DFT.

a b c (Å): 3.527 3.527 15.933
angles (deg): 90.00 90.00 90.00
Sites, in units of the cell vectors:
In  0.500  0.500  0.239
In  0.500  0.500  0.500
In  0.500  0.500  0.761
Os  0.500  0.500  0.000
Dy  0.000  0.000  0.898
Dy  0.000  0.000  0.102
Dy  0.000  0.000  0.368
Dy  0.000  0.000  0.632

## Properties
DFT total energy (eV/atom): -5.151
Total magnetic moment (Bohr magnetons per cell): 0.0
ρ (g/cm3): 9.926
ΔH_f (0 K) (eV/atom): -0.420
SG: P4/mmm


Computed, not measured: Dy6In2Os after structural relaxation at the PBE level of DFT.

a b c (Å): 3.901 8.576 8.565
angles (deg): 120.04 90.00 90.00
Sites, in units of the cell vectors:
Dy  0.500  0.613  0.000
Dy  0.500  0.385  0.385
Dy  0.500  0.000  0.615
Dy  0.000  0.244  0.000
Dy  0.000  0.757  0.758
Dy  0.000  0.999  0.242
In  0.000  0.333  0.666
In  0.000  0.667  0.334
Os  0.500  0.002  0.000

## Properties
DFT total energy (eV/atom): -5.253
Total magnetic moment (Bohr magnetons per cell): 0.0
ρ (g/cm3): 9.337
ΔH_f (0 K) (eV/atom): -0.329
SG: Amm2


Computed, not measured: Dy6InOs2 after structural relaxation at the PBE level of DFT.

a b c (Å): 8.507 8.507 8.507
angles (deg): 104.02 111.94 112.58
Sites, in units of the cell vectors:
Dy  0.533  0.718  0.815
Dy  0.467  0.282  0.185
Dy  0.097  0.282  0.815
Dy  0.903  0.718  0.185
Dy  0.793  0.758  0.551
Dy  0.207  0.242  0.449
Dy  0.207  0.758  0.965
Dy  0.793  0.242  0.035
Dy  0.687  0.356  0.669
Dy  0.313  0.644  0.331
Dy  0.313  0.982  0.669
Dy  0.687  0.018  0.331
In  0.000  0.500  0.500
In  0.000  0.000  0.000
Os  0.500  0.379  0.879
Os  0.500  0.621  0.121
Os  0.671  0.000  0.671
Os  0.329  0.000  0.329

## Properties
DFT total energy (eV/atom): -6.178
Total magnetic moment (Bohr magnetons per cell): 0.0
ρ (g/cm3): 10.373
ΔH_f (0 K) (eV/atom): -0.310
SG: Immm


Computed, not measured: Dy6InOs after structural relaxation at the PBE level of DFT.

a b c (Å): 6.877 6.923 7.475
angles (deg): 62.89 63.17 60.19
Sites, in units of the cell vectors:
Dy  0.037  0.417  0.756
Dy  0.787  0.035  0.755
Dy  0.583  0.210  0.245
Dy  0.213  0.965  0.245
Dy  0.963  0.583  0.244
Dy  0.417  0.790  0.755
In  0.500  0.500  0.500
Os  0.000  0.000  0.000

## Properties
DFT total energy (eV/atom): -5.174
Total magnetic moment (Bohr magnetons per cell): 0.0
ρ (g/cm3): 8.084
ΔH_f (0 K) (eV/atom): 0.024
SG: P-1